1.
The following is a GGA-PBE calculation of a relaxed structure of Pa3Hg2I8, from the Alexandria database.

Properties
The calculation puts the magnetic moment at 5.966 μB per cell. The electronic total energy is -3.863 eV per atom. The calculation puts the density of states at the Fermi level at 9.955 states/eV per cell.

a b c (Å): 7.0304 8.3497 11.5537
angles (deg): 111.18 96.42 90.00
With the nearest neighbours (Å) after each atom.
Element x y z (fractional)
Pa: 0.5000 0.0000 0.0000  6 I 3.09-3.20
Pa: 0.0000 0.7927 0.0000  6 I 3.09-3.17
Pa: 0.0000 0.2073 0.0000  6 I 3.09-3.17
I: 0.6295 0.1608 0.8178  2 Pa 3.09
I: 0.1408 0.8933 0.7866  3 Pa 3.13-3.20
I: 0.6295 0.6570 0.8178  2 Pa 3.09
I: 0.8592 0.1067 0.2134  3 Pa 3.13-3.20
I: 0.1337 0.4218 0.8435  2 Pa 3.17
I: 0.3705 0.8392 0.1822  2 Pa 3.09
I: 0.8663 0.5782 0.1565  2 Pa 3.17
I: 0.3705 0.3430 0.1822  2 Pa 3.09
Hg: 0.3651 0.2512 0.5024  6 I 4.04-4.44
Hg: 0.6349 0.7488 0.4976  6 I 4.04-4.44


2.
The following is a GGA-PBE calculation of a relaxed structure of PaHg3I8, from the Alexandria database.

Properties
The calculation puts the magnetic moment at 0.000 μB per cell. The electronic total energy is -2.409 eV per atom. The calculation puts the density of states at the Fermi level at 4.762 states/eV per cell.

a b c (Å): 8.3859 8.3859 10.0573
angles (deg): 90.00 90.00 117.37
With the nearest neighbours (Å) after each atom.
Element x y z (fractional)
Hg: 0.5000 0.0000 0.7514  6 I 3.39-3.60
Hg: 0.0000 0.5000 0.2486  6 I 3.39-3.60
Hg: 0.5000 0.5000 0.0000  2 I 2.67
I: 0.7415 0.7430 0.7062  1 Pa 2.96
I: 0.6861 0.3139 0.0000  1 Hg 2.67
I: 0.7430 0.7415 0.2938  1 Pa 2.96
I: 0.2570 0.2585 0.2938  1 Pa 2.96
I: 0.3139 0.6861 0.0000  1 Hg 2.67
I: 0.2922 0.7078 0.5000  1 Pa 2.98
I: 0.7078 0.2922 0.5000  1 Pa 2.98
I: 0.2585 0.2570 0.7062  1 Pa 2.96
Pa: 0.5000 0.5000 0.5000  6 I 2.96-2.98


3.
The following is a GGA-PBE calculation of a relaxed structure of PaHgI, from the Alexandria database.

Properties
The calculation puts the magnetic moment at 0.001 μB per cell. The electronic total energy is -3.885 eV per atom. The calculation puts the density of states at the Fermi level at 8.073 states/eV per cell.

a b c (Å): 5.9604 3.6736 9.5122
angles (deg): 89.71 100.84 103.05
With the nearest neighbours (Å) after each atom.
Element x y z (fractional)
Pa: 0.0494 0.3295 0.7966  1 Pa 2.59
Pa: 0.7807 0.5692 0.5882  1 Pa 2.59
Hg: 0.2460 0.9832 0.0923  2 Pa 3.21-3.55, 1 I 3.42
Hg: 0.3207 0.9169 0.5846  5 Pa 3.19-3.37, 1 I 3.51
I: 0.7775 0.0484 0.3151  2 Pa 3.13-3.23, 1 Hg 3.42
I: 0.6439 0.6287 0.8952  4 Pa 3.16-3.41, 1 Hg 3.51


4.
The following is a GGA-PBE calculation of a relaxed structure of PaHgI4, from the Alexandria database.

Properties
The calculation puts the magnetic moment at 2.000 μB per cell. The electronic total energy is -3.114 eV per atom. The calculation puts the density of states at the Fermi level at 13.252 states/eV per cell.

a b c (Å): 10.7955 10.7955 8.3373
angles (deg): 90.00 90.00 90.00
With the nearest neighbours (Å) after each atom.
Element x y z (fractional)
I: 0.3079 0.1921 0.5000  1 Pa 2.93
I: 0.3079 0.8079 0.5000  1 Pa 2.93
I: 0.6921 0.8079 0.5000  1 Pa 2.93
I: 0.8079 0.6921 0.0000  1 Pa 2.93
I: 0.6921 0.1921 0.5000  1 Pa 2.93
I: 0.1921 0.3079 0.0000  1 Pa 2.93
I: 0.8079 0.3079 0.0000  1 Pa 2.93
I: 0.1921 0.6921 0.0000  1 Pa 2.93
Hg: 0.0000 0.0000 0.5000  4 I 3.92, 2 Hg 4.17
Hg: 0.0000 0.0000 0.0000  4 I 3.92, 2 Hg 4.17
Pa: 0.5000 0.0000 0.5000  4 I 2.93
Pa: 0.0000 0.5000 0.0000  4 I 2.93


5.
The following is a GGA-PBE calculation of a relaxed structure of PaHgI3, from the Alexandria database.

Properties
The calculation puts the magnetic moment at 4.001 μB per cell. The electronic total energy is -3.554 eV per atom. The calculation puts the density of states at the Fermi level at 5.944 states/eV per cell.

a b c (Å): 7.3282 7.3282 11.6012
angles (deg): 71.59 71.59 60.00
With the nearest neighbours (Å) after each atom.
Element x y z (fractional)
I: 0.0588 0.7255 0.8233  2 Pa 3.10
I: 0.7255 0.3924 0.8233  2 Pa 3.10
I: 0.6076 0.9412 0.1767  2 Pa 3.10
I: 0.3924 0.0588 0.8233  2 Pa 3.10
I: 0.2745 0.6076 0.1767  2 Pa 3.10
I: 0.9412 0.2745 0.1767  2 Pa 3.10
Hg: 0.8339 0.8339 0.4984  3 Hg 4.23, 6 I 4.25-4.28
Hg: 0.1661 0.1661 0.5016  3 Hg 4.23, 6 I 4.25-4.28
Pa: 0.3334 0.3334 0.9999  6 I 3.10
Pa: 0.6666 0.6666 0.0001  6 I 3.10


6.
The following is a GGA-PBE calculation of a relaxed structure of PaHg2I6, from the Alexandria database.

Properties
The calculation puts the magnetic moment at 0.000 μB per cell. The electronic total energy is -2.755 eV per atom. The calculation puts the density of states at the Fermi level at 4.133 states/eV per cell.

a b c (Å): 7.5638 11.2475 12.1339
angles (deg): 90.00 104.70 90.00
With the nearest neighbours (Å) after each atom.
Element x y z (fractional)
Hg: 0.5308 0.7868 0.2622  2 I 3.17-3.19
Hg: 0.0308 0.7132 0.7622  2 I 3.17-3.19
Hg: 0.4692 0.2132 0.7378  2 I 3.17-3.19
Hg: 0.9692 0.2868 0.2378  2 I 3.17-3.19
I: 0.8089 0.7623 0.5054  1 Pa 3.05, 2 Hg 3.17-3.19
I: 0.9109 0.0687 0.7128  1 Pa 2.93
I: 0.5891 0.5687 0.7872  1 Pa 2.93
I: 0.4109 0.4313 0.2128  1 Pa 2.93
I: 0.6911 0.2623 0.9946  1 Pa 3.05, 2 Hg 3.17-3.19
I: 0.1911 0.2377 0.4946  1 Pa 3.05, 2 Hg 3.17-3.19
I: 0.8463 0.6010 0.1301  1 Pa 2.92
I: 0.3089 0.7377 0.0054  1 Pa 3.05, 2 Hg 3.17-3.19
I: 0.3463 0.8990 0.6301  1 Pa 2.92
I: 0.6537 0.1010 0.3699  1 Pa 2.92
I: 0.1537 0.3990 0.8699  1 Pa 2.92
I: 0.0891 0.9313 0.2872  1 Pa 2.93
Pa: 0.5000 0.5000 0.0000  6 I 2.92-3.05
Pa: 0.0000 0.0000 0.5000  6 I 2.92-3.05


7.
The following is a GGA-PBE calculation of a relaxed structure of PaHg4I6, from the Alexandria database.

Properties
The calculation puts the magnetic moment at 0.000 μB per cell. The electronic total energy is -2.299 eV per atom. The calculation puts the density of states at the Fermi level at 10.266 states/eV per cell.

a b c (Å): 8.7314 8.7311 12.8656
angles (deg): 89.98 90.02 90.01
With the nearest neighbours (Å) after each atom.
Element x y z (fractional)
I: 0.7841 0.6811 0.9999  1 Pa 2.94
I: 0.0000 0.0002 0.2658  1 Pa 3.01
I: 0.3190 0.7840 0.9999  1 Pa 2.94
I: 0.2841 0.8190 0.5000  1 Pa 2.94
I: 0.5002 0.5001 0.2343  1 Pa 3.01
I: 0.2159 0.3189 0.0001  1 Pa 2.94
I: 0.0000 0.9998 0.7342  1 Pa 3.01
I: 0.7159 0.1810 0.5000  1 Pa 2.94
I: 0.1811 0.2841 0.5001  1 Pa 2.94
I: 0.6810 0.2160 0.0001  1 Pa 2.94
I: 0.4998 0.4999 0.7657  1 Pa 3.01
I: 0.8189 0.7159 0.4999  1 Pa 2.94
Hg: 0.6204 0.8794 0.7498  1 Hg 2.97
Hg: 0.1203 0.6202 0.7500  1 Hg 2.98
Hg: 0.8793 0.3793 0.7500  1 Hg 2.98
Hg: 0.6205 0.8797 0.2498  1 Hg 2.97
Hg: 0.3795 0.1203 0.7502  1 Hg 2.97
Hg: 0.8797 0.3798 0.2500  1 Hg 2.98
Hg: 0.1207 0.6207 0.2500  1 Hg 2.98
Hg: 0.3796 0.1206 0.2502  1 Hg 2.97
Pa: 0.5000 0.5000 0.0000  6 I 2.94-3.01
Pa: 0.0000 0.0000 0.5000  6 I 2.94-3.01


8.
The following is a GGA-PBE calculation of a relaxed structure of Pa3Hg6I14, from the Alexandria database.

Properties
The calculation puts the magnetic moment at 1.209 μB per cell. The electronic total energy is -2.857 eV per atom. The calculation puts the density of states at the Fermi level at 4.935 states/eV per cell.

a b c (Å): 11.0645 10.9801 10.9801
angles (deg): 120.00 90.00 90.00
With the nearest neighbours (Å) after each atom.
Element x y z (fractional)
I: 0.4888 0.2009 0.4023  1 Pa 2.88
I: 0.9095 0.0826 0.7858  1 Pa 2.92
I: 0.2613 0.9292 0.4588  1 Pa 3.03
I: 0.5683 0.4191 0.2140  1 Pa 2.89
I: 0.0981 0.3333 0.6667  1 Pa 2.93
I: 0.5683 0.7949 0.5809  1 Pa 2.89
I: 0.6680 0.0000 0.0000  1 Pa 2.89
I: 0.5683 0.7860 0.2051  1 Pa 2.89
I: 0.4888 0.5977 0.7986  1 Pa 2.88
I: 0.2613 0.5412 0.4705  1 Pa 3.03
I: 0.4888 0.2014 0.7991  1 Pa 2.88
I: 0.2613 0.5295 0.0708  1 Pa 3.03
I: 0.9095 0.2142 0.2968  1 Pa 2.92
I: 0.9095 0.7032 0.9174  1 Pa 2.92
Pa: 0.9290 0.0000 0.0000  4 I 2.89-2.92
Pa: 0.4168 0.6667 0.3333  6 I 2.89-3.03
Pa: 0.3627 0.3333 0.6667  4 I 2.88-2.93
Hg: 0.1488 0.2202 0.0587  1 Pa 3.26, 1 I 3.56
Hg: 0.9128 0.8531 0.3428  3 Hg 3.46-3.69
Hg: 0.9128 0.4897 0.1469  3 Hg 3.46-3.69
Hg: 0.9128 0.6572 0.5103  3 Hg 3.46-3.69
Hg: 0.1488 0.9413 0.1615  1 Pa 3.26, 1 I 3.56
Hg: 0.1488 0.8385 0.7798  1 Pa 3.26, 1 I 3.56